Entry i
A plane-wave DFT calculation with PBE-GGA was carried out for a relaxed PmDy6Tl5 crystal.

The calculation puts the total magnetization at 0.003 μB per atom.

The structure belongs to space group C2/m (No. 12); the cell edges are 10.422, 11.306 and 6.215 Å and the angles 90.00°, 103.70° and 90.00°. The distinct sites, in fractional coordinates, are Pm at (0.000, 0.000, 0.000), Dy at (0.225, 0.500, 0.229), Dy at (0.226, 0.321, 0.737), Tl at (0.000, 0.140, 0.500), Tl at (0.000, 0.304, 0.000) and Tl at (0.000, 0.500, 0.500).



Entry ii
A plane-wave DFT calculation with PBE-GGA was carried out for a relaxed PmDy6Tl5 crystal.

The calculation puts the total magnetization at 0.000 μB per atom.

The structure belongs to space group Immm (No. 71); the cell edges are 5.038, 8.775 and 15.285 Å and the angles 90.00°, 90.00° and 90.00°. The distinct sites, in fractional coordinates, are Pm at (0.000, 0.000, 0.000), Dy at (0.000, 0.225, 0.500), Dy at (0.000, 0.265, 0.170), Tl at (0.000, 0.000, 0.320), Tl at (0.000, 0.500, 0.000) and Tl at (0.000, 0.500, 0.351).



It is entry i that is the least stable of them.



Entry i
A plane-wave DFT calculation with PBE-GGA was carried out for a relaxed Pm4DyTl crystal.

The calculation puts the total magnetization at 0.000 μB per atom.

The structure belongs to space group P4/mmm (No. 123); the cell edges are 3.658, 3.658 and 14.534 Å and the angles 90.00°, 90.00° and 90.00°. The distinct sites, in fractional coordinates, are Pm at (0.000, 0.000, 0.149), Pm at (0.500, 0.500, 0.326), Dy at (0.000, 0.000, 0.500) and Tl at (0.500, 0.500, 0.000).



Entry ii
A plane-wave DFT calculation with PBE-GGA was carried out for a relaxed Pm4DyTl crystal.

The calculation puts the total magnetization at 0.000 μB per atom.

The structure belongs to space group C2/m (No. 12); the cell edges are 7.615, 7.615 and 7.629 Å and the angles 90.00°, 90.06° and 90.00°. The distinct sites, in fractional coordinates, are Pm at (0.250, 0.250, 0.245), Dy at (0.000, 0.000, 0.500) and Tl at (0.000, 0.500, 0.000).



It is entry ii that is the least stable of them.



Entry i
A plane-wave DFT calculation with PBE-GGA was carried out for a relaxed Pm5Dy4Tl crystal.

The calculation puts the total magnetization at 0.000 μB per atom.

The structure belongs to space group P4/mmm (No. 123); the cell edges are 4.187, 4.187 and 18.327 Å and the angles 90.00°, 90.00° and 90.00°. The distinct sites, in fractional coordinates, are Pm at (0.000, 0.000, 0.000), Pm at (0.000, 0.000, 0.204), Pm at (0.000, 0.000, 0.409), Dy at (0.500, 0.500, 0.102), Dy at (0.500, 0.500, 0.304) and Tl at (0.500, 0.500, 0.500).



Entry ii
A plane-wave DFT calculation with PBE-GGA was carried out for a relaxed Pm5Dy4Tl crystal.

The calculation puts the total magnetization at 0.000 μB per atom.

The structure belongs to space group I4mm (No. 107); the cell edges are 10.655, 10.655 and 5.964 Å and the angles 90.00°, 90.00° and 90.00°. The distinct sites, in fractional coordinates, are Pm at (0.000, 0.000, 0.000), Pm at (0.187, 0.187, 0.715), Dy at (0.000, 0.319, 0.201) and Tl at (0.000, 0.000, 0.478).



It is entry ii that is the least stable of them.



Entry i
A plane-wave DFT calculation with PBE-GGA was carried out for a relaxed PmDyYTl crystal.

The calculation puts the total magnetization at 0.205 μB per atom.

The structure belongs to space group Pmmm (No. 47); the cell edges are 4.854, 4.889 and 4.948 Å and the angles 90.00°, 90.00° and 90.00°. The distinct sites, in fractional coordinates, are Pm at (0.000, 0.000, 0.000), Dy at (0.500, 0.500, 0.000), Y at (0.500, 0.000, 0.500) and Tl at (0.000, 0.500, 0.500).



Entry ii
A plane-wave DFT calculation with PBE-GGA was carried out for a relaxed PmDyYTl crystal.

The calculation puts the total magnetization at 0.358 μB per atom.

The structure belongs to space group F-43m (No. 216); the cell edges are 7.806, 7.806 and 7.806 Å and the angles 90.00°, 90.00° and 90.00°. The distinct sites, in fractional coordinates, are Pm at (0.000, 0.000, 0.000), Dy at (0.250, 0.250, 0.250), Y at (0.000, 0.000, 0.500) and Tl at (0.250, 0.250, 0.750).



It is entry ii that is the least stable of them.



Entry i
A plane-wave DFT calculation with PBE-GGA was carried out for a relaxed Pm4Dy2Tm crystal.

The calculation puts the total magnetization at 0.000 μB per atom.

The structure belongs to space group Fdd2 (No. 43); the cell edges are 11.939, 24.165 and 6.445 Å and the angles 90.00°, 90.00° and 90.00°. The distinct sites, in fractional coordinates, are Pm at (0.053, 0.070, 0.000), Pm at (0.070, 0.144, 0.532), Dy at (0.025, 0.215, 0.057) and Tm at (0.000, 0.000, 0.495).



Entry ii
A plane-wave DFT calculation with PBE-GGA was carried out for a relaxed Pm4Dy2Tm crystal.

The calculation puts the total magnetization at 0.000 μB per atom.

The structure belongs to space group P2_1/m (No. 11); the cell edges are 6.217, 6.630 and 11.566 Å and the angles 90.00°, 104.50° and 90.00°. The distinct sites, in fractional coordinates, are Pm at (0.044, 0.250, 0.366), Pm at (0.151, 0.250, 0.951), Pm at (0.352, 0.511, 0.215), Dy at (0.288, 0.750, 0.922), Dy at (0.390, 0.750, 0.507) and Tm at (0.149, 0.250, 0.664).



It is entry ii that is the least stable of them.



Entry i
A plane-wave DFT calculation with PBE-GGA was carried out for a relaxed Pm5Dy2Tm4 crystal.

The calculation puts the total magnetization at 0.000 μB per atom.

The structure belongs to space group C2/m (No. 12); the cell edges are 11.075, 7.285 and 9.258 Å and the angles 90.00°, 107.24° and 90.00°. The distinct sites, in fractional coordinates, are Pm at (0.000, 0.000, 0.000), Pm at (0.067, 0.281, 0.267), Dy at (0.146, 0.000, 0.619), Tm at (0.164, 0.500, 0.616) and Tm at (0.197, 0.500, 0.999).



Entry ii
A plane-wave DFT calculation with PBE-GGA was carried out for a relaxed Pm5Dy2Tm4 crystal.

The calculation puts the total magnetization at 0.000 μB per atom.

The structure belongs to space group Immm (No. 71); the cell edges are 3.508, 9.048 and 23.421 Å and the angles 90.00°, 90.00° and 90.00°. The distinct sites, in fractional coordinates, are Pm at (0.000, 0.000, 0.000), Pm at (0.000, 0.300, 0.355), Dy at (0.000, 0.500, 0.231), Tm at (0.000, 0.185, 0.500) and Tm at (0.000, 0.500, 0.096).



It is entry ii that is the least stable of them.



Entry i
A plane-wave DFT calculation with PBE-GGA was carried out for a relaxed PmDy6Tm crystal.

The calculation puts the total magnetization at 0.000 μB per atom.

The structure belongs to space group P-1 (No. 2); the cell edges are 6.530, 6.717 and 6.912 Å and the angles 118.43°, 103.63° and 90.23°. The distinct sites, in fractional coordinates, are Pm at (0.000, 0.000, 0.000), Dy at (0.232, 0.578, 0.484), Dy at (0.253, 0.548, 0.003), Dy at (0.273, 0.097, 0.527) and Tm at (0.500, 0.000, 0.000).



Entry ii
A plane-wave DFT calculation with PBE-GGA was carried out for a relaxed PmDy6Tm crystal.

The calculation puts the total magnetization at 0.000 μB per atom.

The structure belongs to space group P4/mmm (No. 123); the cell edges are 5.021, 5.021 and 10.033 Å and the angles 90.00°, 90.00° and 90.00°. The distinct sites, in fractional coordinates, are Pm at (0.000, 0.000, 0.000), Dy at (0.000, 0.500, 0.253), Dy at (0.500, 0.500, 0.000), Dy at (0.500, 0.500, 0.500) and Tm at (0.000, 0.000, 0.500).



It is entry i that is the least stable of them.



Entry i
A plane-wave DFT calculation with PBE-GGA was carried out for a relaxed Pm6Dy3Tm2 crystal.

The calculation puts the total magnetization at 0.000 μB per atom.

The structure belongs to space group R-3m (No. 166, hexagonal axes); the cell edges are 3.5934, 3.5934 and 96.2726 Å and the angles 90.00°, 90.00° and 120.00°. The distinct sites, in fractional coordinates, are Pm at (0.0000, 0.0000, 0.0911), Pm at (0.0000, 0.0000, 0.1823), Pm at (0.0000, 0.0000, 0.3637), Dy at (0.0000, 0.0000, 0.0000), Dy at (0.0000, 0.0000, 0.2726) and Tm at (0.0000, 0.0000, 0.4543).



Entry ii
A plane-wave DFT calculation with PBE-GGA was carried out for a relaxed Pm6Dy3Tm2 crystal.

The calculation puts the total magnetization at 0.000 μB per atom.

The structure belongs to space group I4/mmm (No. 139); the cell edges are 4.762, 4.762 and 33.492 Å and the angles 90.00°, 90.00° and 90.00°. The distinct sites, in fractional coordinates, are Pm at (0.000, 0.000, 0.200), Pm at (0.000, 0.500, 0.120), Dy at (0.000, 0.000, 0.302), Dy at (0.000, 0.000, 0.500) and Tm at (0.000, 0.000, 0.045).



It is entry ii that is the least stable of them.



Entry i
A plane-wave DFT calculation with PBE-GGA was carried out for a relaxed Pm6DyTm12 crystal.

The calculation puts the total magnetization at 0.000 μB per atom.

The structure belongs to space group R-3m (No. 166, hexagonal axes); the cell edges are 15.2235, 15.2235 and 9.2154 Å and the angles 90.00°, 90.00° and 120.00°. The distinct sites, in fractional coordinates, are Pm at (0.0854, 0.5427, 0.1094), Dy at (0.0000, 0.0000, 0.5000), Tm at (0.0000, 0.2889, 0.0000) and Tm at (0.0760, 0.1521, 0.8143).



Entry ii
A plane-wave DFT calculation with PBE-GGA was carried out for a relaxed Pm6DyTm12 crystal.

The calculation puts the total magnetization at 0.000 μB per atom.

The structure belongs to space group R-3m (No. 166, hexagonal axes); the cell edges are 11.0025, 11.0025 and 17.3244 Å and the angles 90.00°, 90.00° and 120.00°. The distinct sites, in fractional coordinates, are Pm at (0.0689, 0.5344, 0.2668), Dy at (0.0000, 0.0000, 0.5000), Tm at (0.1022, 0.5511, 0.9140) and Tm at (0.1060, 0.2121, 0.9076).



It is entry i that is the least stable of them.



Entry i
A plane-wave DFT calculation with PBE-GGA was carried out for a relaxed Pm3DyTm crystal.

The calculation puts the total magnetization at 0.000 μB per atom.

The structure belongs to space group Pbcm (No. 57); the cell edges are 3.560, 17.494 and 10.974 Å and the angles 90.00°, 90.00° and 90.00°. The distinct sites, in fractional coordinates, are Pm at (0.247, 0.250, 0.000), Pm at (0.252, 0.576, 0.056), Dy at (0.246, 0.101, 0.750) and Tm at (0.254, 0.725, 0.250).



Entry ii
A plane-wave DFT calculation with PBE-GGA was carried out for a relaxed Pm3DyTm crystal.

The calculation puts the total magnetization at 0.000 μB per atom.

The structure belongs to space group C2/c (No. 15); the cell edges are 6.214, 17.990 and 6.223 Å and the angles 90.00°, 109.10° and 90.00°. The distinct sites, in fractional coordinates, are Pm at (0.000, 0.051, 0.250), Pm at (0.000, 0.250, 0.250), Pm at (0.000, 0.449, 0.250), Dy at (0.000, 0.151, 0.750) and Tm at (0.000, 0.349, 0.750).



It is entry i that is the least stable of them.